Entry one
# La2PrTm4, optimized geometry, DFT GGA-PBE
data_La2PrTm4
_symmetry_space_group_name_H-M 'P 1'
_symmetry_Int_Tables_number 1
_cell_length_a 6.4386
_cell_length_b 8.5091
_cell_length_c 9.3584
_cell_angle_alpha 77.35
_cell_angle_beta 76.90
_cell_angle_gamma 73.41
loop_
_symmetry_equiv_pos_as_xyz
'x,y,z'
loop_
_atom_site_label
_atom_site_fract_x
_atom_site_fract_y
_atom_site_fract_z
La1 0.0000 0.0000 0.0000
La2 0.0201 0.7745 0.5113
La3 0.2308 0.3730 0.3915
La4 0.4810 0.9613 0.4918
Pr1 0.1953 0.5876 0.8980
Pr2 0.7436 0.4114 0.9016
Tm1 0.3343 0.2376 0.7485
Tm2 0.3786 0.6944 0.1803
Tm3 0.4156 0.1308 0.1103
Tm4 0.5878 0.5336 0.5368
Tm5 0.6350 0.8400 0.8617
Tm6 0.8124 0.2478 0.2783
Tm7 0.8466 0.6790 0.2176
Tm8 0.8842 0.1402 0.6425
# - total magnetic moment (μB per cell) = 0.000


Entry two
# La2PrTm4, optimized geometry, DFT GGA-PBE
data_La2PrTm4
_symmetry_space_group_name_H-M 'P 1'
_symmetry_Int_Tables_number 1
_cell_length_a 7.0983
_cell_length_b 8.6451
_cell_length_c 8.9348
_cell_angle_alpha 114.42
_cell_angle_beta 101.58
_cell_angle_gamma 102.01
loop_
_symmetry_equiv_pos_as_xyz
'x,y,z'
loop_
_atom_site_label
_atom_site_fract_x
_atom_site_fract_y
_atom_site_fract_z
La1 0.0000 0.0000 0.0000
La2 0.0316 0.8287 0.2817
La3 0.4961 0.9993 0.0047
La4 0.9230 0.2469 0.4280
Pr1 0.3872 0.4148 0.1443
Pr2 0.7051 0.1260 0.7085
Tm1 0.1091 0.5602 0.8743
Tm2 0.2090 0.1248 0.7120
Tm3 0.3068 0.6744 0.5504
Tm4 0.4208 0.2475 0.4283
Tm5 0.5312 0.8325 0.2827
Tm6 0.6043 0.5592 0.8699
Tm7 0.8069 0.6743 0.5499
Tm8 0.8841 0.4090 0.1437
# - total magnetic moment (μB per cell) = 0.000


Looking at the structures above, entry two is most stable, and the difference to the next one is 9.1 kJ/mol of atoms.